[1]
First-principles (GGA-PBE) data for a relaxed AcPrGaPb crystal, as listed in the Alexandria database.

Output
Space-group type: F-43m
Total DFT energy (no corrections) (eV per atom): -4.34

Lattice parameters (Å, degrees): 5.607 5.607 5.607 60.00 60.00 60.00
Positions (direct):
Ga (0.250, 0.250, 0.250)
Ac (0.000, 0.000, 0.000)
Pb (0.750, 0.750, 0.750)
Pr (0.500, 0.500, 0.500)

[2]
First-principles (GGA-PBE) data for a relaxed Ac2Ga4Pt3Pb crystal, as listed in the Alexandria database.

Output
Space-group type: P-4m2
Total DFT energy (no corrections) (eV per atom): -5.01

Lattice parameters (Å, degrees): 4.555 4.555 10.663 90.00 90.00 90.00
Positions (direct):
Ga (0.000, 0.000, 0.000)
Pt (0.000, 0.500, 0.117)
Ga (0.000, 0.500, 0.350)
Pb (0.500, 0.500, 0.500)
Ga (0.500, 0.500, 0.000)
Ac (0.500, 0.000, 0.238)
Pt (0.500, 0.000, 0.883)
Ga (0.500, 0.000, 0.650)
Pt (0.000, 0.000, 0.500)
Ac (0.000, 0.500, 0.762)

[3]
First-principles (GGA-PBE) data for a relaxed Ac2Ga3Pt4Pb crystal, as listed in the Alexandria database.

Output
Space-group type: P-4m2
Total DFT energy (no corrections) (eV per atom): -5.39

Lattice parameters (Å, degrees): 4.506 4.506 10.822 90.00 90.00 90.00
Positions (direct):
Pb (0.500, 0.500, 0.500)
Ac (0.500, 0.000, 0.241)
Ga (0.500, 0.000, 0.884)
Ga (0.000, 0.000, 0.500)
Pt (0.000, 0.000, 0.000)
Pt (0.500, 0.500, 0.000)
Pt (0.000, 0.500, 0.347)
Ga (0.000, 0.500, 0.116)
Ac (0.000, 0.500, 0.759)
Pt (0.500, 0.000, 0.653)

[4]
First-principles (GGA-PBE) data for a relaxed Ac2GaPt4Pb2 crystal, as listed in the Alexandria database.

Output
Space-group type: I4/mmm
Total DFT energy (no corrections) (eV per atom): -5.40

Lattice parameters (Å, degrees): 6.657 6.657 6.657 95.78 116.72 116.72
Positions (direct):
Pt (0.000, 0.747, 0.253)
Pb (0.000, 0.322, 0.322)
Pt (0.494, 0.747, 0.747)
Ga (0.000, 0.000, 0.000)
Ac (0.500, 0.250, 0.750)
Pt (0.506, 0.253, 0.253)
Pt (0.000, 0.253, 0.747)
Ac (0.500, 0.750, 0.250)
Pb (0.000, 0.678, 0.678)

[5]
First-principles (GGA-PBE) data for a relaxed AcPuGaPb crystal, as listed in the Alexandria database.

Output
Space-group type: F-43m
Total DFT energy (no corrections) (eV per atom): -6.52

Lattice parameters (Å, degrees): 5.545 5.545 5.545 60.00 60.00 60.00
Positions (direct):
Ga (0.250, 0.250, 0.250)
Pb (0.750, 0.750, 0.750)
Pu (0.500, 0.500, 0.500)
Ac (0.000, 0.000, 0.000)

[6]
First-principles (GGA-PBE) data for a relaxed Ac2GaRhPb crystal, as listed in the Alexandria database.

Output
Space-group type: P2_1/m
Total DFT energy (no corrections) (eV per atom): -5.04

Lattice parameters (Å, degrees): 4.536 7.902 9.559 118.91 90.00 90.00
Positions (direct):
Ac (0.250, 0.273, 0.948)
Pb (0.750, 0.264, 0.645)
Rh (0.750, 0.113, 0.074)
Ga (0.250, 0.529, 0.745)
Ga (0.750, 0.471, 0.255)
Pb (0.250, 0.736, 0.355)
Ac (0.750, 0.784, 0.660)
Rh (0.250, 0.887, 0.926)
Ac (0.750, 0.727, 0.052)
Ac (0.250, 0.216, 0.340)

[7]
First-principles (GGA-PBE) data for a relaxed AcGaPbS4 crystal, as listed in the Alexandria database.

Output
Space-group type: P2_1/m
Total DFT energy (no corrections) (eV per atom): -5.05

Lattice parameters (Å, degrees): 6.829 6.691 8.225 90.00 107.23 90.00
Positions (direct):
S (0.999, 0.993, 0.756)
S (0.001, 0.493, 0.244)
Ac (0.235, 0.250, 0.559)
Ga (0.230, 0.750, 0.298)
Ac (0.765, 0.750, 0.441)
S (0.408, 0.750, 0.584)
S (0.001, 0.007, 0.244)
S (0.427, 0.750, 0.120)
Pb (0.747, 0.750, 0.938)
S (0.999, 0.507, 0.756)
Ga (0.770, 0.250, 0.702)
S (0.573, 0.250, 0.880)
S (0.592, 0.250, 0.416)
Pb (0.253, 0.250, 0.062)

[8]
First-principles (GGA-PBE) data for a relaxed AcScGaPb crystal, as listed in the Alexandria database.

Output
Space-group type: F-43m
Total DFT energy (no corrections) (eV per atom): -4.62

Lattice parameters (Å, degrees): 5.411 5.411 5.411 60.00 60.00 60.00
Positions (direct):
Pb (0.750, 0.750, 0.750)
Ac (0.000, 0.000, 0.000)
Sc (0.500, 0.500, 0.500)
Ga (0.250, 0.250, 0.250)

[9]
First-principles (GGA-PBE) data for a relaxed AcSmGaPb crystal, as listed in the Alexandria database.

Output
Space-group type: F-43m
Total DFT energy (no corrections) (eV per atom): -4.31

Lattice parameters (Å, degrees): 5.561 5.561 5.561 60.00 60.00 60.00
Positions (direct):
Pb (0.250, 0.250, 0.250)
Ga (0.750, 0.750, 0.750)
Sm (0.500, 0.500, 0.500)
Ac (0.000, 0.000, 0.000)

[10]
First-principles (GGA-PBE) data for a relaxed AcGaSnPb crystal, as listed in the Alexandria database.

Output
Space-group type: F-43m
Total DFT energy (no corrections) (eV per atom): -3.96

Lattice parameters (Å, degrees): 5.559 5.559 5.559 60.00 60.00 60.00
Positions (direct):
Ac (0.000, 0.000, 0.000)
Pb (0.500, 0.500, 0.500)
Ga (0.750, 0.750, 0.750)
Sn (0.250, 0.250, 0.250)

[11]
First-principles (GGA-PBE) data for a relaxed SrAcGaPb crystal, as listed in the Alexandria database.

Output
Space-group type: Amm2
Offset from the most stable computed form (meV/atom): 0

Lattice parameters (Å, degrees): 4.951 4.534 6.578 90.00 112.11 90.00
Positions (direct):
Ac (0.865, 0.500, 0.729)
Ga (0.421, 0.000, 0.841)
Pb (0.574, 0.500, 0.149)
Sr (0.140, 0.000, 0.280)

[12]
First-principles (GGA-PBE) data for a relaxed SrAcGaPb crystal, as listed in the Alexandria database.

Output
Space-group type: F-43m
Offset from the most stable computed form (meV/atom): 85

Lattice parameters (Å, degrees): 5.716 5.716 5.716 60.00 60.00 60.00
Positions (direct):
Sr (0.750, 0.750, 0.750)
Pb (0.500, 0.500, 0.500)
Ac (0.250, 0.250, 0.250)
Ga (0.000, 0.000, 0.000)

[13]
First-principles (GGA-PBE) data for a relaxed AcTbGaPb crystal, as listed in the Alexandria database.

Output
Space-group type: F-43m
Total DFT energy (no corrections) (eV per atom): -4.27

Lattice parameters (Å, degrees): 5.526 5.526 5.526 60.00 60.00 60.00
Positions (direct):
Ga (0.000, 0.000, 0.000)
Tb (0.750, 0.750, 0.750)
Pb (0.500, 0.500, 0.500)
Ac (0.250, 0.250, 0.250)

[14]
First-principles (GGA-PBE) data for a relaxed Ac4GaTe2Pb crystal, as listed in the Alexandria database.

Output
Space-group type: P2/m
Total DFT energy (no corrections) (eV per atom): -4.66

Lattice parameters (Å, degrees): 4.709 8.142 8.465 108.75 90.00 90.00
Positions (direct):
Te (0.500, 0.000, 0.500)
Pb (0.000, 0.000, 0.000)
Ac (0.500, 0.747, 0.759)
Ga (0.500, 0.500, 0.000)
Te (0.000, 0.500, 0.500)
Ac (0.000, 0.740, 0.238)
Ac (0.500, 0.253, 0.241)
Ac (0.000, 0.260, 0.762)

[15]
First-principles (GGA-PBE) data for a relaxed AcTlGaPb crystal, as listed in the Alexandria database.

Output
Space-group type: F-43m
Total DFT energy (no corrections) (eV per atom): -3.54

Lattice parameters (Å, degrees): 5.551 5.551 5.551 60.00 60.00 60.00
Positions (direct):
Ac (0.000, 0.000, 0.000)
Pb (0.500, 0.500, 0.500)
Tl (0.750, 0.750, 0.750)
Ga (0.250, 0.250, 0.250)

[16]
First-principles (GGA-PBE) data for a relaxed Ac2Zn3Ga4Pb crystal, as listed in the Alexandria database.

Output
Space-group type: P-4m2
Total DFT energy (no corrections) (eV per atom): -3.17

Lattice parameters (Å, degrees): 4.602 4.602 10.785 90.00 90.00 90.00
Positions (direct):
Pb (0.500, 0.500, 0.500)
Zn (0.000, 0.500, 0.117)
Zn (0.000, 0.000, 0.500)
Ga (0.000, 0.000, 0.000)
Ga (0.000, 0.500, 0.349)
Ac (0.000, 0.500, 0.767)
Ga (0.500, 0.000, 0.651)
Zn (0.500, 0.000, 0.883)
Ac (0.500, 0.000, 0.233)
Ga (0.500, 0.500, 0.000)

[17]
First-principles (GGA-PBE) data for a relaxed Ac2Zn4Ga3Pb crystal, as listed in the Alexandria database.

Output
Space-group type: P-4m2
Total DFT energy (no corrections) (eV per atom): -3.02

Lattice parameters (Å, degrees): 4.545 4.545 10.878 90.00 90.00 90.00
Positions (direct):
Ga (0.000, 0.000, 0.500)
Zn (0.500, 0.500, 0.000)
Zn (0.500, 0.000, 0.649)
Ga (0.500, 0.000, 0.879)
Ac (0.000, 0.500, 0.768)
Pb (0.500, 0.500, 0.500)
Ac (0.500, 0.000, 0.232)
Ga (0.000, 0.500, 0.121)
Zn (0.000, 0.000, 0.000)
Zn (0.000, 0.500, 0.351)

[18]
First-principles (GGA-PBE) data for a relaxed Ac2Ga3Pd crystal, as listed in the Alexandria database.

Output
Space-group type: Fmmm
Total DFT energy (no corrections) (eV per atom): -4.44

Lattice parameters (Å, degrees): 6.327 6.327 8.950 110.58 110.58 90.31
Positions (direct):
Ga (0.835, 0.835, 0.669)
Pd (0.667, 0.667, 0.334)
Ac (0.750, 0.250, 0.500)
Ga (0.162, 0.672, 0.834)
Ac (0.735, 0.735, 0.000)
Ga (0.165, 0.165, 0.331)
Ac (0.250, 0.750, 0.500)
Pd (0.333, 0.333, 0.666)
Ac (0.265, 0.265, 0.000)
Ga (0.328, 0.838, 0.166)
Ga (0.672, 0.162, 0.834)
Ga (0.838, 0.328, 0.166)

[19]
First-principles (GGA-PBE) data for a relaxed Ac3Ga2Pd3 crystal, as listed in the Alexandria database.

Output
Space-group type: Cmcm
Total DFT energy (no corrections) (eV per atom): -5.01

Lattice parameters (Å, degrees): 4.545 6.311 15.108 90.00 90.00 111.11
Positions (direct):
Pd (0.683, 0.365, 0.750)
Pd (0.616, 0.232, 0.042)
Pd (0.384, 0.768, 0.958)
Ac (0.369, 0.737, 0.750)
Ac (0.913, 0.827, 0.106)
Ac (0.631, 0.263, 0.250)
Ga (0.209, 0.418, 0.089)
Ac (0.913, 0.827, 0.394)
Ac (0.087, 0.173, 0.894)
Pd (0.616, 0.232, 0.458)
Ac (0.087, 0.173, 0.606)
Pd (0.317, 0.635, 0.250)
Ga (0.791, 0.582, 0.911)
Pd (0.384, 0.768, 0.542)
Ga (0.209, 0.418, 0.411)
Ga (0.791, 0.582, 0.589)

[20]
First-principles (GGA-PBE) data for a relaxed AcGaPd crystal, as listed in the Alexandria database.

Output
Space-group type: I4mm
Offset from the most stable computed form (meV/atom): 264

Lattice parameters (Å, degrees): 3.626 3.626 6.009 107.56 107.56 90.00
Positions (direct):
Ac (0.998, 0.998, 0.995)
Ga (0.296, 0.296, 0.591)
Pd (0.707, 0.707, 0.414)

[21]
First-principles (GGA-PBE) data for a relaxed Ac3Ga3Pd8 crystal, as listed in the Alexandria database.

Output
Space-group type: C2/m
Offset from the most stable computed form (meV/atom): 0

Lattice parameters (Å, degrees): 4.457 8.531 8.863 64.38 75.44 74.86
Positions (direct):
Ga (0.325, 0.350, 0.001)
Pd (0.508, 0.663, 0.321)
Ac (0.000, 0.000, 0.000)
Pd (0.130, 0.573, 0.168)
Pd (0.890, 0.834, 0.386)
Pd (0.492, 0.337, 0.679)
Pd (0.110, 0.166, 0.614)
Ga (0.675, 0.650, 0.999)
Ac (0.705, 0.256, 0.335)
Pd (0.355, 0.044, 0.246)
Ga (0.000, 0.500, 0.500)
Pd (0.870, 0.427, 0.832)
Ac (0.295, 0.744, 0.665)
Pd (0.645, 0.956, 0.754)

[22]
First-principles (GGA-PBE) data for a relaxed Ac3GaPd3 crystal, as listed in the Alexandria database.

Output
Space-group type: P6_3/m
Offset from the most stable computed form (meV/atom): 132

Lattice parameters (Å, degrees): 6.135 9.100 9.100 120.00 90.00 90.00
Positions (direct):
Ac (0.250, 0.640, 0.944)
Ac (0.750, 0.360, 0.056)
Ac (0.750, 0.944, 0.304)
Ac (0.750, 0.696, 0.640)
Ga (0.250, 0.667, 0.333)
Ac (0.250, 0.304, 0.360)
Pd (0.250, 0.936, 0.313)
Pd (0.750, 0.313, 0.377)
Pd (0.750, 0.623, 0.936)
Pd (0.750, 0.064, 0.687)
Pd (0.250, 0.377, 0.064)
Ac (0.250, 0.056, 0.696)
Ga (0.750, 0.333, 0.667)
Pd (0.250, 0.687, 0.623)

[23]
First-principles (GGA-PBE) data for a relaxed Ac2Ga3Pd5 crystal, as listed in the Alexandria database.

Output
Space-group type: Ibam
Offset from the most stable computed form (meV/atom): 0

Lattice parameters (Å, degrees): 6.116 8.789 8.789 76.80 69.64 69.64
Positions (direct):
Ga (0.141, 0.262, 0.456)
Pd (0.534, 0.216, 0.216)
Pd (0.250, 0.500, 0.500)
Pd (0.400, 0.273, 0.927)
Ac (0.366, 0.864, 0.403)
Pd (0.966, 0.784, 0.784)
Pd (0.750, 0.500, 0.500)
Ga (0.359, 0.544, 0.738)
Pd (0.600, 0.727, 0.073)
Ac (0.866, 0.403, 0.864)
Pd (0.900, 0.927, 0.273)
Ac (0.634, 0.136, 0.597)
Pd (0.034, 0.216, 0.216)
Ga (0.641, 0.456, 0.262)
Ac (0.134, 0.597, 0.136)
Ga (0.750, 0.000, 0.000)
Ga (0.859, 0.738, 0.544)
Pd (0.100, 0.073, 0.727)
Pd (0.466, 0.784, 0.784)
Ga (0.250, 0.000, 0.000)

[24]
First-principles (GGA-PBE) data for a relaxed Ac4GaPd crystal, as listed in the Alexandria database.

Output
Space-group type: C2/m
Total DFT energy (no corrections) (eV per atom): -4.39

Lattice parameters (Å, degrees): 5.344 5.346 7.729 89.90 89.95 90.00
Positions (direct):
Ac (0.502, 0.998, 0.743)
Ac (0.001, 0.497, 0.253)
Ac (0.501, 0.997, 0.253)
Ac (0.002, 0.498, 0.743)
Pd (0.001, 0.997, 0.498)
Ga (0.501, 0.497, 0.998)